This record from the Alexandria database describes YScGa2Ni2 after structural relaxation. The functional is PBE.

Cell lengths 4.2599, 4.2599, 6.6351 Å; angles 90.00, 90.00, 120.00 degrees
Space group P-3m1 (No. 164)
Asymmetric unit:
1 Y 0.0000 0.0000 0.0000 x1
2 Sc 0.0000 0.0000 0.5000 x1
3 Ga 0.3333 0.6667 0.2835 x2
4 Ni 0.3333 0.6667 0.7092 x2

Properties
The calculation puts the energy of formation at -0.64 eV/atom. The value obtained for the density of states at the Fermi level is 4.6 states/eV/cell.

***

This record from the Alexandria database describes SrTi2NF after structural relaxation. The functional is PBE.

Cell lengths 3.909, 3.909, 6.972 Å; angles 90.00, 90.00, 90.00 degrees
Space group P4/mmm (No. 123)
Asymmetric unit:
1 Sr 0.000 0.000 0.000 x1
2 Ti 0.000 0.500 0.500 x2
3 N 0.500 0.500 0.500 x1
4 F 0.500 0.500 0.000 x1

Properties
The calculation puts the formation energy (no corrections) at -1.16 eV/atom. The value obtained for the density of states at the Fermi level is 3.8 states/eV/cell.

***

This record from the Alexandria database describes SmCd4In2 after structural relaxation. The functional is PBE.

Cell lengths 4.542, 17.041, 4.479 Å; angles 90.00, 90.00, 90.00 degrees
Space group Cmmm (No. 65)
Asymmetric unit:
1 Sm 0.000 0.000 0.000 x2
2 Cd 0.000 0.185 0.500 x4
3 Cd 0.000 0.310 0.000 x4
4 In 0.000 0.420 0.500 x4

Properties
The calculation puts the energy of formation at -0.13 eV/atom. The value obtained for the density of states at the Fermi level is 5.9 states/eV/cell.

***

This record from the Alexandria database describes SbTeP2S after structural relaxation. The functional is PBE.

Cell lengths 5.088, 5.088, 4.943 Å; angles 90.00, 90.00, 90.00 degrees
Space group P4/mmm (No. 123)
Asymmetric unit:
1 Sb 0.000 0.000 0.000 x1
2 Te 0.500 0.500 0.500 x1
3 P 0.000 0.500 0.500 x2
4 S 0.500 0.500 0.000 x1

Properties
The calculation puts the formation energy (no corrections) at 1.01 eV/atom. The value obtained for the density of states at the Fermi level is 4.8 states/eV/cell. The energy relative to the lowest polymorph listed for this composition is 5.9 kJ/mol of atoms.

***

This record from the Alexandria database describes Al2RhBr after structural relaxation. The functional is PBE.

Cell lengths 3.036, 4.634, 4.941 Å; angles 90.00, 90.00, 90.00 degrees
Space group Pmmm (No. 47)
Asymmetric unit:
1 Al 0.000 0.000 0.000 x1
2 Al 0.500 0.500 0.000 x1
3 Rh 0.000 0.500 0.500 x1
4 Br 0.500 0.000 0.500 x1

Properties
The calculation puts the formation energy (no corrections) at 0.22 eV/atom. The value obtained for the density of states at the Fermi level is 2.7 states/eV/cell. The energy relative to the lowest polymorph listed for this composition is 70.7 kJ/mol of atoms.

***

This record from the Alexandria database describes Dy2Ga3Hg after structural relaxation. The functional is PBE.

Cell lengths 7.312, 9.040, 15.590 Å; angles 90.00, 90.00, 90.00 degrees
Space group Fmmm (No. 69)
Asymmetric unit:
1 Dy 0.249 0.000 0.000 x8
2 Dy 0.250 0.250 0.250 x8
3 Ga 0.000 0.000 0.338 x8
4 Ga 0.000 0.244 0.419 x16
5 Hg 0.000 0.000 0.167 x8

Properties
The calculation puts the energy of formation at -0.55 eV/atom. The value obtained for the density of states at the Fermi level is 24.5 states/eV/cell. The energy relative to the lowest polymorph listed for this composition is 0.3 kJ/mol of atoms.

***

This record from the Alexandria database describes HgRu3 after structural relaxation. The functional is PBE.

Cell lengths 3.884, 3.884, 8.174 Å; angles 90.00, 90.00, 90.00 degrees
Space group I4/mmm (No. 139)
Asymmetric unit:
1 Hg 0.000 0.000 0.000 x2
2 Ru 0.000 0.000 0.500 x2
3 Ru 0.000 0.500 0.250 x4

Properties
The calculation puts the energy of formation at 0.55 eV/atom. The value obtained for the density of states at the Fermi level is 10.8 states/eV/cell.

***

This record from the Alexandria database describes Cs4Pm3PuSe8 after structural relaxation. The functional is PBE.

Cell lengths 8.7516, 8.7516, 25.1394 Å; angles 90.00, 90.00, 120.00 degrees
Space group R-3m (No. 166, hexagonal axes)
Asymmetric unit:
1 Cs 0.0000 0.0000 0.0000 x3
2 Cs 0.0000 0.5000 0.0000 x9
3 Pm 0.0000 0.5000 0.5000 x9
4 Pu 0.0000 0.0000 0.5000 x3
5 Se 0.0000 0.0000 0.2300 x6
6 Se 0.0019 0.5009 0.2292 x18

Properties
The calculation puts the formation energy (no corrections) at -1.65 eV/atom. The value obtained for the density of states at the Fermi level is 39.1 states/eV/cell.

***

This record from the Alexandria database describes KBa3In after structural relaxation. The functional is PBE.

Cell lengths 6.912, 6.912, 6.912 Å; angles 90.00, 90.00, 90.00 degrees
Space group Pm-3m (No. 221)
Asymmetric unit:
1 K 0.000 0.000 0.000 x1
2 Ba 0.000 0.500 0.500 x3
3 In 0.500 0.500 0.500 x1

Properties
The calculation puts the energy of formation at -0.04 eV/atom. The value obtained for the density of states at the Fermi level is 6.9 states/eV/cell. The energy relative to the lowest polymorph listed for this composition is 0.0 kJ/mol of atoms.

***

This record from the Alexandria database describes VZnPt3 after structural relaxation. The functional is PBE.

Cell lengths 4.579, 4.579, 4.579 Å; angles 90.00, 90.00, 90.00 degrees
Space group Pm-3m (No. 221)
Asymmetric unit:
1 V 0.000 0.000 0.000 x1
2 Zn 0.500 0.500 0.500 x1
3 Pt 0.000 0.500 0.500 x3

Properties
The calculation puts the energy of formation at 0.76 eV/atom. The value obtained for the density of states at the Fermi level is 9.6 states/eV/cell. The energy relative to the lowest polymorph listed for this composition is 2.3 kJ/mol of atoms.

***

This record from the Alexandria database describes Sr3MgHg7 after structural relaxation. The functional is PBE.

Cell lengths 4.173, 22.422, 14.207 Å; angles 90.00, 90.00, 90.00 degrees
Space group Cmcm (No. 63)
Asymmetric unit:
1 Sr 0.000 0.094 0.046 x8
2 Sr 0.000 0.249 0.750 x4
3 Mg 0.000 0.054 0.750 x4
4 Hg 0.000 0.292 0.535 x8
5 Hg 0.000 0.355 0.147 x8
6 Hg 0.000 0.404 0.750 x4
7 Hg 0.000 0.486 0.113 x8

Properties
The calculation puts the energy of formation at -0.36 eV/atom. The value obtained for the density of states at the Fermi level is 23.8 states/eV/cell.

***

This record from the Alexandria database describes K4Pm3AlO8 after structural relaxation. The functional is PBE.

Cell lengths 12.307, 6.871, 7.430 Å; angles 90.00, 122.08, 90.00 degrees
Space group C2/m (No. 12)
Asymmetric unit:
1 K 0.000 0.000 0.000 x2
2 K 0.000 0.500 0.000 x2
3 K 0.250 0.250 0.000 x4
4 Pm 0.000 0.000 0.500 x2
5 Pm 0.250 0.250 0.500 x4
6 Al 0.000 0.500 0.500 x2
7 O 0.019 0.292 0.337 x8
8 O 0.225 0.000 0.692 x4
9 O 0.246 0.000 0.283 x4

Properties
The calculation puts the formation energy (no corrections) at -2.45 eV/atom. The value obtained for the density of states at the Fermi level is 0.0 states/eV/cell.

***

This record from the Alexandria database describes TiSnOs2 after structural relaxation. The functional is PBE.

Cell lengths 4.021, 4.072, 16.784 Å; angles 90.00, 90.00, 90.00 degrees
Space group Amm2 (No. 38)
Asymmetric unit:
1 Ti 0.000 0.000 0.000 x2
2 Ti 0.000 0.000 0.201 x2
3 Sn 0.000 0.000 0.830 x2
4 Sn 0.500 0.000 0.473 x2
5 Os 0.000 0.000 0.595 x2
6 Os 0.500 0.000 0.093 x2
7 Os 0.500 0.000 0.309 x2
8 Os 0.500 0.000 0.704 x2

Properties
The calculation puts the energy of formation at -0.10 eV/atom. The value obtained for the density of states at the Fermi level is 11.7 states/eV/cell.

***

This record from the Alexandria database describes Ba3PuTi2O9 after structural relaxation. The functional is PBE.

Cell lengths 5.8627, 5.8627, 7.2300 Å; angles 90.00, 90.00, 120.00 degrees
Space group P-3m1 (No. 164)
Asymmetric unit:
1 Ba 0.0000 0.0000 0.0000 x1
2 Ba 0.3333 0.6667 0.6789 x2
3 Pu 0.0000 0.0000 0.5000 x1
4 Ti 0.3333 0.6667 0.1588 x2
5 O 0.0000 0.5000 0.0000 x3
6 O 0.1747 0.3493 0.3201 x6

Properties
The calculation puts the formation energy (no corrections) at -3.02 eV/atom. The value obtained for the density of states at the Fermi level is 0.9 states/eV/cell.

***

This record from the Alexandria database describes Pm2ScSi4Ni3 after structural relaxation. The functional is PBE.

Cell lengths 4.051, 4.051, 10.403 Å; angles 90.00, 90.00, 90.00 degrees
Space group P-4m2 (No. 115)
Asymmetric unit:
1 Pm 0.000 0.500 0.230 x2
2 Sc 0.000 0.000 0.500 x1
3 Si 0.000 0.000 0.000 x1
4 Si 0.000 0.500 0.662 x2
5 Si 0.500 0.500 0.000 x1
6 Ni 0.000 0.500 0.889 x2
7 Ni 0.500 0.500 0.500 x1

Properties
The calculation puts the formation energy (no corrections) at -0.76 eV/atom. The value obtained for the density of states at the Fermi level is 4.9 states/eV/cell.

***

This record from the Alexandria database describes NaTlSb after structural relaxation. The functional is PBE.

Cell lengths 5.3512, 5.3512, 3.4796 Å; angles 90.00, 90.00, 120.00 degrees
Space group P3m1 (No. 156)
Asymmetric unit:
1 Na 0.0000 0.0000 0.0000 x1
2 Tl 0.6667 0.3333 0.3451 x1
3 Sb 0.3333 0.6667 0.6328 x1

Properties
The calculation puts the formation energy (no corrections) at -0.19 eV/atom. The value obtained for the density of states at the Fermi level is 0.8 states/eV/cell. The energy relative to the lowest polymorph listed for this composition is 2.4 kJ/mol of atoms.

***

This record from the Alexandria database describes CoMoCl4 after structural relaxation. The functional is PBE.

Cell lengths 8.212, 8.212, 8.212 Å; angles 90.00, 90.00, 90.00 degrees
Space group F-43m (No. 216)
Asymmetric unit:
1 Co 0.000 0.000 0.000 x4
2 Mo 0.250 0.250 0.750 x4
3 Cl 0.126 0.126 0.374 x16

Properties
The calculation puts the formation energy (no corrections) at 1.34 eV/atom. The value obtained for the density of states at the Fermi level is 40.4 states/eV/cell.

***

This record from the Alexandria database describes TaPRh2 after structural relaxation. The functional is PBE.

Cell lengths 3.022, 4.451, 8.673 Å; angles 90.00, 90.00, 90.00 degrees
Space group Imm2 (No. 44)
Asymmetric unit:
1 Ta 0.000 0.000 0.000 x2
2 P 0.000 0.500 0.264 x2
3 Rh 0.000 0.000 0.566 x2
4 Rh 0.000 0.500 0.778 x2

Properties
The calculation puts the energy of formation at -0.57 eV/atom. The value obtained for the density of states at the Fermi level is 3.0 states/eV/cell.

***

This record from the Alexandria database describes YAl3C3 after structural relaxation. The functional is PBE.

Cell lengths 3.4373, 3.4373, 17.3346 Å; angles 90.00, 90.00, 120.00 degrees
Space group P6_3mc (No. 186)
Asymmetric unit:
1 Y 0.0000 0.0000 0.0000 x2
2 Al 0.3333 0.6667 0.1335 x2
3 Al 0.3333 0.6667 0.3661 x2
4 Al 0.3333 0.6667 0.7521 x2
5 C 0.3333 0.6667 0.2495 x2
6 C 0.3333 0.6667 0.5918 x2
7 C 0.3333 0.6667 0.9049 x2

Properties
The calculation puts the energy of formation at -0.29 eV/atom. The value obtained for the density of states at the Fermi level is 0.9 states/eV/cell.

***

This record from the Alexandria database describes Tb2CeTe4 after structural relaxation. The functional is PBE.

Cell lengths 16.811, 4.401, 7.617 Å; angles 90.00, 116.16, 90.00 degrees
Space group C2/m (No. 12)
Asymmetric unit:
1 Tb 0.243 0.000 0.231 x4
2 Ce 0.000 0.500 0.500 x2
3 Te 0.127 0.500 0.959 x4
4 Te 0.135 0.000 0.477 x4

Properties
The calculation puts the formation energy (no corrections) at -1.37 eV/atom. The value obtained for the density of states at the Fermi level is 17.0 states/eV/cell. The energy relative to the lowest polymorph listed for this composition is 1.4 kJ/mol of atoms.

***

This record from the Alexandria database describes LiCaLa2Cd2 after structural relaxation. The functional is PBE.

Cell lengths 5.040, 9.642, 7.409 Å; angles 90.00, 90.00, 90.00 degrees
Space group Pmc2_1 (No. 26)
Asymmetric unit:
1 Li 0.000 0.183 0.000 x2
2 Ca 0.500 0.049 0.320 x2
3 La 0.000 0.438 0.370 x2
4 La 0.500 0.329 0.677 x2
5 Cd 0.000 0.119 0.597 x2
6 Cd 0.500 0.340 0.108 x2

Properties
The calculation puts the energy of formation at -0.19 eV/atom. The value obtained for the density of states at the Fermi level is 11.4 states/eV/cell.

***

This record from the Alexandria database describes MgSiRu2 after structural relaxation. The functional is PBE.

Cell lengths 2.987, 4.156, 9.067 Å; angles 90.00, 90.00, 90.00 degrees
Space group Imm2 (No. 44)
Asymmetric unit:
1 Mg 0.000 0.000 0.000 x2
2 Si 0.000 0.500 0.232 x2
3 Ru 0.000 0.000 0.515 x2
4 Ru 0.000 0.500 0.767 x2

Properties
The calculation puts the formation energy (no corrections) at -0.21 eV/atom. The value obtained for the density of states at the Fermi level is 4.8 states/eV/cell.

***

This record from the Alexandria database describes TlCrPb2 after structural relaxation. The functional is PBE.

Cell lengths 3.430, 4.782, 13.455 Å; angles 90.00, 90.00, 90.00 degrees
Space group Imm2 (No. 44)
Asymmetric unit:
1 Tl 0.000 0.000 0.000 x2
2 Cr 0.000 0.500 0.693 x2
3 Pb 0.000 0.000 0.379 x2
4 Pb 0.000 0.500 0.189 x2

Properties
The calculation puts the energy of formation at 0.37 eV/atom. The value obtained for the density of states at the Fermi level is 5.0 states/eV/cell. The energy relative to the lowest polymorph listed for this composition is 7.4 kJ/mol of atoms.

***

This record from the Alexandria database describes ScReAg2 after structural relaxation. The functional is PBE.

Cell lengths 9.576, 2.837, 5.219 Å; angles 90.00, 99.65, 90.00 degrees
Space group Cm (No. 8)
Asymmetric unit:
1 Sc 0.000 0.000 0.000 x2
2 Re 0.242 0.500 0.238 x2
3 Ag 0.243 0.000 0.730 x2
4 Ag 0.491 0.000 0.487 x2

Properties
The calculation puts the energy of formation at 0.29 eV/atom. The value obtained for the density of states at the Fermi level is 5.7 states/eV/cell. The energy relative to the lowest polymorph listed for this composition is 9.1 kJ/mol of atoms.